Record 1
LaY2Sc | PBEsol | optimized geometry Values from VASP.

The structure in Quantum ESPRESSO input format:
```
&SYSTEM
  ibrav = 0, nat = 4, ntyp = 3
/
ATOMIC_SPECIES
Y 88.91 Y.upf
Sc 44.96 Sc.upf
La 138.91 La.upf
ATOMIC_POSITIONS angstrom
Y 1.7850 -1.6871 -1.6693
Y -2.2072 -1.6739 1.0702
Sc -1.3900 -2.9878 -2.0111
La -0.9677 0.3733 -1.4121
CELL_PARAMETERS angstrom
-1.9354 0.7465 -2.8241
3.5699 -3.3743 -3.3386
-4.4145 -3.3478 2.1404
```

Energy of formation = 0.042 eV per atom
Total energy = -6.357 eV/atom
Polymorph energy (0 for the lowest one) = 0.0 meV per atom


Record 2
Ni2GeP | PBEsol | optimized geometry Values from VASP.

The structure in Quantum ESPRESSO input format:
```
&SYSTEM
  ibrav = 0, nat = 32, ntyp = 3
/
ATOMIC_SPECIES
Ni 58.69 Ni.upf
Ge 72.64 Ge.upf
P 30.97 P.upf
ATOMIC_POSITIONS angstrom
Ni 0.0001 4.5509 1.0400
Ni 2.4359 4.5532 11.0648
Ni 2.4351 4.5518 4.1642
Ni 0.0004 1.5168 9.6368
Ni 4.8706 4.5532 4.1642
Ni 2.4351 1.5168 2.7363
Ni 2.4359 1.5182 9.6368
Ni 0.0004 4.5518 11.0648
Ni 0.0001 1.5159 5.8606
Ni 2.4354 1.5159 12.7611
Ni 4.8709 4.5541 7.9405
Ni 4.8709 1.5191 12.7611
Ni 2.4354 4.5509 7.9405
Ni 2.4357 4.5541 1.0400
Ni 4.8706 1.5182 2.7363
Ni 2.4357 1.5191 5.8606
Ge 1.2162 3.5891 6.0754
Ge 3.6517 2.4810 0.8251
Ge 1.2193 0.5541 7.7256
Ge 3.6549 5.5160 12.9760
Ge 3.6549 2.4810 7.7256
Ge 1.2193 3.5891 12.9760
Ge 3.6517 5.5160 6.0754
Ge 1.2162 0.5541 0.8251
P 1.2184 3.4563 2.5791
P 1.2171 3.4563 9.4796
P 3.6527 2.6138 11.2220
P 3.6527 5.6488 9.4796
P 1.2171 0.4213 11.2220
P 3.6539 2.6138 4.3214
P 1.2184 0.4213 4.3214
P 3.6539 5.6488 2.5791
CELL_PARAMETERS angstrom
4.8711 0.0000 0.0000
0.0000 6.0700 0.0000
0.0000 0.0000 13.8011
```

Energy of formation = -0.433 eV per atom
Total energy = -6.194 eV/atom


Record 3
ZrBe2Pt2 | PBEsol | optimized geometry Values from VASP.

The structure in Quantum ESPRESSO input format:
```
&SYSTEM
  ibrav = 0, nat = 10, ntyp = 3
/
ATOMIC_SPECIES
Be 9.01 Be.upf
Zr 91.22 Zr.upf
Pt 195.08 Pt.upf
ATOMIC_POSITIONS angstrom
Be 0.0000 2.6931 6.1893
Be 0.0000 6.1893 4.2995
Be 0.0000 4.2995 0.8032
Be 0.0000 0.8032 2.6931
Zr 0.0000 0.0000 0.0000
Zr 0.0000 3.4963 3.4963
Pt 1.3579 1.2233 4.7196
Pt 1.3579 4.7196 5.7693
Pt 1.3579 5.7693 2.2730
Pt 1.3579 2.2730 1.2233
CELL_PARAMETERS angstrom
2.7157 0.0000 0.0000
0.0000 6.9925 0.0000
0.0000 0.0000 6.9925
```

Energy of formation = -0.744 eV per atom
Total energy = -6.947 eV/atom


Record 4
Ti3Os | PBEsol | optimized geometry Values from VASP.

The structure in Quantum ESPRESSO input format:
```
&SYSTEM
  ibrav = 0, nat = 4, ntyp = 2
/
ATOMIC_SPECIES
Os 190.23 Os.upf
Ti 47.87 Ti.upf
ATOMIC_POSITIONS angstrom
Os 0.0000 0.0000 0.0000
Ti -1.1588 -1.4198 1.9709
Ti -3.4765 -4.2593 5.9126
Ti -2.3176 -2.8395 3.9417
CELL_PARAMETERS angstrom
-3.6715 -0.5358 2.3552
-1.2181 -4.0219 1.2865
0.2544 -1.1214 4.2417
```

Energy of formation = -0.336 eV per atom
Total energy = -9.632 eV/atom